# 1
Computed, not measured: crystalline PuZn8Pd4 at its relaxed geometry at the PBE level of DFT.

a = 5.479 Å, b = 6.817 Å, c = 6.817 Å
α = 80.71°, β = 66.30°, γ = 66.30°
Each line ends with the local moment (μB).
Element x y z (fractional)
Pu  0.000  0.000  0.000  5.44
Zn  0.000  0.349  0.651  0.03
Zn  0.000  0.651  0.349  0.03
Zn  0.349  0.651  0.651  0.03
Zn  0.651  0.349  0.349  0.03
Zn  0.500  0.783  0.217  0.01
Zn  0.500  0.217  0.783  0.01
Zn  0.283  0.217  0.217  0.01
Zn  0.717  0.783  0.783  0.01
Pd  0.000  0.000  0.500  0.02
Pd  0.500  0.000  0.500  0.02
Pd  0.000  0.500  0.000  0.02
Pd  0.500  0.500  0.000  0.02

Properties
DFT total energy	-3.85	eV per atom

=====

# 2
Computed, not measured: crystalline PuZn5Pd4 at its relaxed geometry at the PBE level of DFT.

a = 3.103 Å, b = 3.103 Å, c = 16.383 Å
α = 90.00°, β = 90.00°, γ = 90.00°
Each line ends with the local moment (μB).
Element x y z (fractional)
Pu  0.000  0.000  0.000  5.48
Zn  0.500  0.500  0.135  0.00
Zn  0.500  0.500  0.317  0.00
Zn  0.500  0.500  0.500  0.00
Zn  0.500  0.500  0.683  0.00
Zn  0.500  0.500  0.865  0.00
Pd  0.000  0.000  0.225  0.00
Pd  0.000  0.000  0.409  -0.01
Pd  0.000  0.000  0.591  -0.01
Pd  0.000  0.000  0.775  0.00

Properties
DFT total energy	-4.60	eV per atom

=====

# 3
Computed, not measured: crystalline PuZn4Pd at its relaxed geometry at the PBE level of DFT.

a = 2.844 Å, b = 8.239 Å, c = 8.806 Å
α = 90.00°, β = 90.00°, γ = 90.00°
Each line ends with the local moment (μB).
Element x y z (fractional)
Pu  0.000  0.540  0.750  5.52
Pu  0.000  0.460  0.250  5.52
Zn  0.000  0.000  0.500  -0.01
Zn  0.000  0.000  0.000  -0.01
Zn  0.500  0.879  0.750  0.00
Zn  0.500  0.121  0.250  0.00
Zn  0.500  0.703  0.022  0.01
Zn  0.500  0.297  0.978  0.01
Zn  0.500  0.703  0.478  0.01
Zn  0.500  0.297  0.522  0.01
Pd  0.000  0.164  0.750  0.02
Pd  0.000  0.836  0.250  0.02

Properties
ΔE to the lowest computed polymorph	0	kJ/mol of formula units
DFT total energy	-4.34	eV per atom

=====

# 4
Computed, not measured: crystalline PuZnPd at its relaxed geometry at the PBE level of DFT.

a = 4.062 Å, b = 4.062 Å, c = 7.424 Å
α = 89.95°, β = 90.00°, γ = 90.00°
Each line ends with the local moment (μB).
Element x y z (fractional)
Pu  0.110  0.373  0.704  5.39
Pu  0.610  0.872  0.408  5.39
Zn  0.110  0.872  0.056  0.03
Zn  0.610  0.373  0.056  0.03
Pd  0.110  0.372  0.288  0.00
Pd  0.610  0.873  0.824  0.00

Properties
DFT total energy	-7.29	eV per atom

=====

# 5
Computed, not measured: crystalline Pu2ZnPd at its relaxed geometry at the PBE level of DFT.

a = 5.015 Å, b = 5.015 Å, c = 5.015 Å
α = 60.00°, β = 60.00°, γ = 60.00°
Each line ends with the local moment (μB).
Element x y z (fractional)
Zn  0.000  0.000  0.000  0.02
Pd  0.500  0.500  0.500  -0.01
Pu  0.250  0.250  0.250  5.31
Pu  0.750  0.750  0.750  5.31

Properties
ΔE to the lowest computed polymorph	27	kJ/mol of formula units
DFT total energy	-8.95	eV per atom

=====

# 6
Computed, not measured: crystalline Pu2ZnPd at its relaxed geometry at the PBE level of DFT.

a = 3.816 Å, b = 3.816 Å, c = 5.942 Å
α = 90.00°, β = 90.00°, γ = 90.00°
Each line ends with the local moment (μB).
Element x y z (fractional)
Zn  0.500  0.500  0.500  0.02
Pd  0.500  0.500  0.000  -0.02
Pu  0.000  0.000  0.755  5.47
Pu  0.000  0.000  0.245  5.47

Properties
ΔE to the lowest computed polymorph	0	kJ/mol of formula units
DFT total energy	-9.02	eV per atom

=====

# 7
Computed, not measured: crystalline Pu2ZnPd at its relaxed geometry at the PBE level of DFT.

a = 6.199 Å, b = 6.199 Å, c = 6.199 Å
α = 121.00°, β = 121.00°, γ = 88.27°
Each line ends with the local moment (μB).
Element x y z (fractional)
Pu  0.250  0.250  0.000  5.46
Pu  0.750  0.250  0.500  5.46
Pu  0.750  0.750  0.000  5.46
Pu  0.250  0.750  0.500  5.46
Zn  0.751  0.249  0.000  0.00
Zn  0.249  0.751  0.000  0.00
Pd  0.750  0.750  0.501  0.06
Pd  0.250  0.250  0.499  0.06

Properties
ΔE to the lowest computed polymorph	7	kJ/mol of formula units
DFT total energy	-9.00	eV per atom

=====

# 8
Computed, not measured: crystalline Pu2ZnPd2 at its relaxed geometry at the PBE level of DFT.

a = 4.320 Å, b = 5.875 Å, c = 9.367 Å
α = 88.74°, β = 76.67°, γ = 68.43°
Each line ends with the local moment (μB).
Element x y z (fractional)
Pu  0.669  0.335  0.327  5.34
Pu  0.922  0.262  0.895  5.43
Pu  0.331  0.665  0.673  5.34
Pu  0.078  0.738  0.105  5.43
Zn  0.643  0.073  0.641  0.03
Zn  0.357  0.927  0.359  0.03
Pd  0.072  0.287  0.570  -0.02
Pd  0.646  0.826  0.882  -0.04
Pd  0.928  0.713  0.430  -0.02
Pd  0.354  0.174  0.118  -0.04

Properties
DFT total energy	-8.46	eV per atom

=====

| no. | energy relative to the elements (kJ per mole of atoms) |
| --- | --- |
| 1 | -35.11 |
| 2 | -43.98 |
| 3 | -23.09 |
| 4 | -34.67 |
| 5 | -16.18 |
| 6 | -23.04 |
| 7 | -21.41 |
| 8 | -38.40 |